The following is a PBE calculation of a relaxed structure of HfV4Se8, from Alexandria.

## Properties
Size of the total moment ... 7.6 μB per formula unit
Symmetry ... R-3m, No. 166
DFT total energy ... -6.4685 eV per atom
V ... 281 Å³ per cell
Raw formation energy ... -753 meV/atom
Crystal system ... trigonal

Cell: 7.3135 7.3135 7.3909 Å, 90.00 119.66 120.00°
Each line ends with the local moment (μB).
Fractional coordinates of all 13 atoms:
Se 0.5095 0.7548 0.7559  -0.05
V 0.0000 0.5000 0.0000  1.77
Se 0.5113 0.2556 0.7669  -0.14
V 0.5000 0.5000 0.0000  1.77
V 0.5000 0.0000 0.0000  1.77
Se 0.9988 0.7536 0.2441  -0.05
Hf 0.0000 0.5000 0.5000  0.03
Se 0.9988 0.2452 0.2441  -0.05
Se 0.0012 0.2464 0.7559  -0.05
Se 0.4887 0.7444 0.2331  -0.14
Se 0.0012 0.7548 0.7559  -0.05
Se 0.4905 0.2452 0.2441  -0.05
V 0.0000 0.0000 0.0000  2.09

The following is a PBE calculation of a relaxed structure of ZrPt, from Alexandria.

## Properties
Size of the total moment ... 0.0 μB per formula unit
Symmetry ... P6_3/mmc, No. 194
DFT total energy ... -7.6520 eV per atom
V ... 153 Å³ per cell
DFT formation energy ... -358 meV per atom
Crystal system ... hexagonal

Cell: 4.6664 4.6664 8.0909 Å, 90.00 90.00 120.00°
Fractional coordinates of all 8 atoms:
Pt 0.6667 0.3333 0.9185
Pt 0.3333 0.6667 0.4185
Zr 0.0000 0.0000 0.2500
Zr 0.3333 0.6667 0.7500
Pt 0.6667 0.3333 0.5815
Zr 0.0000 0.0000 0.7500
Zr 0.6667 0.3333 0.2500
Pt 0.3333 0.6667 0.0815

The following is a PBE calculation of a relaxed structure of SmSiHg, from Alexandria.

## Properties
Size of the total moment ... 0.0 μB per formula unit
Symmetry ... Cmcm, No. 63
DFT total energy ... -4.0340 eV per atom
V ... 138 Å³ per cell
Raw formation energy ... -553 meV/atom
Crystal system ... orthorhombic
Excess energy over the best structure of this formula in the dataset ... 4 meV/atom

Cell: 3.9301 4.2117 8.6256 Å, 75.87 90.00 90.00°
Fractional coordinates of all 6 atoms:
Sm 0.2500 0.9034 0.1932
Sm 0.7500 0.0966 0.8068
Si 0.2500 0.5408 0.9183
Si 0.7500 0.4592 0.0817
Hg 0.2500 0.7104 0.5792
Hg 0.7500 0.2896 0.4208

The following is a PBE calculation of a relaxed structure of Ca3SnAu3, from Alexandria.

## Properties
Size of the total moment ... 0.0 μB per formula unit
Symmetry ... C2/m, No. 12
DFT total energy ... -3.5532 eV per atom
V ... 362 Å³ per cell
DFT formation energy ... -719 meV per atom
Crystal system ... monoclinic

Cell: 4.4392 6.1685 14.3524 Å, 83.67 81.10 68.91°
Fractional coordinates of all 14 atoms:
Ca 0.6104 0.7032 0.0760
Ca 0.4817 0.6540 0.3827
Au 0.9884 0.7973 0.2258
Au 0.8722 0.7112 0.5445
Au 0.8838 0.1568 0.0755
Au 0.1162 0.8432 0.9245
Sn 0.2304 0.9300 0.6092
Ca 0.2610 0.2541 0.2238
Ca 0.7390 0.7459 0.7762
Ca 0.3896 0.2968 0.9240
Au 0.0116 0.2027 0.7742
Ca 0.5183 0.3460 0.6173
Sn 0.7696 0.0700 0.3908
Au 0.1278 0.2888 0.4555

The following is a PBE calculation of a relaxed structure of KNaPCl2, from Alexandria.

## Properties
Size of the total moment ... 3.0 μB per formula unit
Symmetry ... P4/mmm, No. 123
DFT total energy ... -2.8948 eV per atom
V ... 160 Å³ per cell
Raw formation energy ... -591 meV/atom
Crystal system ... tetragonal
Excess energy over the best structure of this formula in the dataset ... 0 meV/atom

Cell: 5.4134 5.4134 5.4659 Å, 90.00 90.00 90.00°
Each line ends with the local moment (μB).
Fractional coordinates of all 5 atoms:
Cl 0.5000 0.0000 0.0000  0.12
K 0.5000 0.5000 0.5000  0.01
Cl 0.0000 0.5000 0.0000  0.12
Na 0.0000 0.0000 0.0000  0.02
P 0.0000 0.0000 0.5000  1.15